Computed, not measured: an optimized crystal structure of SmDy5Sc4 at the PBE level of DFT.

As for the energy above the lowest structure with this stoichiometry: 117 meV per atom. Its size of the total moment is 0.00 μB per formula unit. The calculation puts the formation energy at 284 meV per atom.

The space group is Pmmn (No. 59, origin choice 2) and the conventional cell measures 10.112, 11.172 and 5.386 Å, with angles of 90.00, 90.00 and 90.00 degrees. The distinct sites, in fractional coordinates, are Sm at (0.250, 0.250, 0.250), Dy at (0.051, 0.049, 0.250), Dy at (0.250, 0.750, 0.749), Sc at (0.004, 0.250, 0.750) and Sc at (0.250, 0.058, 0.750).